1.
This record from Alexandria describes a relaxed KPu2PaO8 crystal. The functional is GGA-PBE.

Cell: 5.4308 5.4308 6.6042 Å, 114.28 114.28 90.00°
Closest atoms and distances in Å follow each position.
Element x y z (fractional)
Pa: 0.0000 0.0000 0.0000  8 O 2.30-2.31
O: 0.6131 0.6507 0.7657  2 Pu 2.28-2.29, 1 Pa 2.31, 3 O 2.50-2.53, 1 K 2.51
O: 0.6136 0.1149 0.7658  2 Pu 2.28-2.30, 1 Pa 2.30, 3 O 2.50-2.53, 1 K 2.51
O: 0.1526 0.1151 0.7657  2 Pu 2.28-2.29, 1 Pa 2.31, 3 O 2.50-2.53, 1 K 2.51
O: 0.1523 0.6510 0.7658  2 Pu 2.28-2.30, 1 Pa 2.30, 3 O 2.50-2.53, 1 K 2.51
Pu: 0.2500 0.7500 0.5000  8 O 2.28
O: 0.3493 0.8474 0.2343  2 Pu 2.28-2.29, 1 Pa 2.31, 3 O 2.50-2.53, 1 K 2.51
Pu: 0.5000 0.5000 0.0000  8 O 2.29-2.30
O: 0.8849 0.3869 0.2343  2 Pu 2.28-2.29, 1 Pa 2.31, 3 O 2.50-2.53, 1 K 2.51
K: 0.7500 0.2500 0.5000  8 O 2.51
O: 0.3490 0.3864 0.2342  2 Pu 2.28-2.30, 1 Pa 2.30, 3 O 2.50-2.53, 1 K 2.51
O: 0.8851 0.8477 0.2342  2 Pu 2.28-2.30, 1 Pa 2.30, 3 O 2.50-2.53, 1 K 2.51

Results
- M_tot: 6.0 Bohr magnetons per cell
- D(E_F): 11.77 states/eV per cell
- E_tot: -9.38 eV per atom



2.
This record from Alexandria describes a relaxed K4PuPa3O12 crystal. The functional is GGA-PBE.

Cell: 7.5510 7.5510 7.5510 Å, 109.47 109.47 109.47°
Closest atoms and distances in Å follow each position.
Element x y z (fractional)
K: 0.0000 0.5000 0.0000  12 O 3.08
O: 0.7500 0.2500 0.5000  2 Pa 2.18
O: 0.7521 0.0000 0.7521  1 Pu 2.16, 1 Pa 2.20
Pu: 0.0000 0.0000 0.0000  6 O 2.16
Pa: 0.5000 0.0000 0.5000  6 O 2.18-2.20
K: 0.0000 0.0000 0.5000  12 O 3.08
O: 0.5000 0.2500 0.7500  2 Pa 2.18
Pa: 0.5000 0.5000 0.0000  6 O 2.18-2.20
O: 0.0000 0.2479 0.2479  1 Pu 2.16, 1 Pa 2.20
K: 0.5000 0.0000 0.0000  12 O 3.08
O: 0.7500 0.5000 0.2500  2 Pa 2.18
O: 0.2500 0.5000 0.7500  2 Pa 2.18
O: 0.0000 0.7521 0.7521  1 Pu 2.16, 1 Pa 2.20
K: 0.5000 0.5000 0.5000  12 O 3.08
O: 0.7521 0.7521 0.0000  1 Pu 2.16, 1 Pa 2.20
Pa: 0.0000 0.5000 0.5000  6 O 2.18-2.20
O: 0.5000 0.7500 0.2500  2 Pa 2.18
O: 0.2479 0.0000 0.2479  1 Pu 2.16, 1 Pa 2.20
O: 0.2479 0.2479 0.0000  1 Pu 2.16, 1 Pa 2.20
O: 0.2500 0.7500 0.5000  2 Pa 2.18

Results
- M_tot: 3.0 Bohr magnetons per cell
- D(E_F): 11.18 states/eV per cell
- E_tot: -8.33 eV per atom



3.
This record from Alexandria describes a relaxed KRb4Pa3O12 crystal. The functional is GGA-PBE.

Cell: 7.8480 7.8480 7.8480 Å, 109.47 109.47 109.47°
Closest atoms and distances in Å follow each position.
Element x y z (fractional)
O: 0.5000 0.7500 0.2500  2 Pa 2.27
O: 0.2500 0.7500 0.5000  2 Pa 2.27
Rb: 0.0000 0.0000 0.5000  12 O 3.20-3.22
O: 0.2500 0.5000 0.7500  2 Pa 2.27
O: 0.7159 0.0000 0.7159  1 Pa 1.96
O: 0.7500 0.5000 0.2500  2 Pa 2.27
Rb: 0.5000 0.0000 0.0000  12 O 3.20-3.22
Pa: 0.0000 0.5000 0.5000  2 O 1.96
K: 0.0000 0.0000 0.0000  6 O 2.57
O: 0.7159 0.7159 0.0000  1 Pa 1.96
O: 0.0000 0.7159 0.7159  1 Pa 1.96
Rb: 0.0000 0.5000 0.0000  12 O 3.20-3.22
O: 0.2841 0.2841 0.0000  1 Pa 1.96
Rb: 0.5000 0.5000 0.5000  12 O 3.20-3.22
Pa: 0.5000 0.0000 0.5000  2 O 1.96
O: 0.0000 0.2841 0.2841  1 Pa 1.96
O: 0.5000 0.2500 0.7500  2 Pa 2.27
O: 0.2841 0.0000 0.2841  1 Pa 1.96
O: 0.7500 0.2500 0.5000  2 Pa 2.27
Pa: 0.5000 0.5000 0.0000  2 O 1.96

Results
- M_tot: 1.8 Bohr magnetons per cell
- D(E_F): 16.04 states/eV per cell
- E_tot: -7.08 eV per atom



4.
This record from Alexandria describes a relaxed K2RbPaO4 crystal. The functional is GGA-PBE.

Cell: 3.6655 7.0074 6.7624 Å, 114.71 90.00 90.00°
Closest atoms and distances in Å follow each position.
Element x y z (fractional)
O: 0.0000 0.8304 0.1825  1 Pa 2.04
O: 0.0000 0.1696 0.8175  1 Pa 2.04
Pa: 0.0000 0.0000 0.0000  2 O 2.04
Rb: 0.5000 0.5000 0.0000  6 O 2.80-2.96
K: 0.0000 0.5000 0.5000  4 O 2.89
O: 0.5000 0.8031 0.7986  2 Pa 2.35
O: 0.5000 0.1969 0.2014  2 Pa 2.35
K: 0.5000 0.0000 0.5000  6 O 2.69-2.88

Results
- M_tot: 0.0 Bohr magnetons per cell
- D(E_F): 0.00 states/eV per cell
- E_tot: -6.49 eV per atom



5.
This record from Alexandria describes a relaxed K2PaReO6 crystal. The functional is GGA-PBE.

Cell: 4.1572 5.9227 5.9227 Å, 90.00 90.00 90.00°
Closest atoms and distances in Å follow each position.
Element x y z (fractional)
O: 0.6447 0.2367 0.2367  1 Re 1.98, 1 Pa 2.21
Pa: 0.6446 0.5000 0.5000  6 O 2.08-2.21
K: 0.1447 0.0000 0.5000  12 O 2.95-2.96
O: 0.1445 0.0000 0.0000  2 Re 2.08
K: 0.1447 0.5000 0.0000  12 O 2.95-2.96
O: 0.6447 0.7633 0.2367  1 Re 1.98, 1 Pa 2.21
O: 0.1446 0.5000 0.5000  2 Pa 2.08
O: 0.6447 0.7633 0.7633  1 Re 1.98, 1 Pa 2.21
Re: 0.6449 0.0000 0.0000  6 O 1.98-2.08
O: 0.6447 0.2367 0.7633  1 Re 1.98, 1 Pa 2.21

Results
- M_tot: 1.3 Bohr magnetons per cell
- D(E_F): 2.96 states/eV per cell
- E_tot: -7.71 eV per atom



6.
This record from Alexandria describes a relaxed K2Pa3ReO12 crystal. The functional is GGA-PBE.

Cell: 7.8646 7.8646 7.8646 Å, 61.01 61.01 61.01°
Closest atoms and distances in Å follow each position.
Element x y z (fractional)
Pa: 0.0000 0.5000 0.0000  6 O 2.16-2.24
Pa: 0.5000 0.0000 0.0000  6 O 2.16-2.24
O: 0.6773 0.6773 0.0702  2 Pa 2.16
O: 0.0558 0.0558 0.7188  1 Re 1.89
O: 0.9442 0.2812 0.9442  1 Re 1.89
O: 0.0558 0.7188 0.0558  1 Re 1.89
O: 0.6773 0.0702 0.6773  2 Pa 2.16
Pa: 0.0000 0.0000 0.5000  6 O 2.16-2.24
K: 0.3995 0.3995 0.3995  3 O 3.15
K: 0.6005 0.6005 0.6005  3 O 3.15
O: 0.9298 0.3227 0.3227  2 Pa 2.16
O: 0.3227 0.3227 0.9298  2 Pa 2.16
Re: 0.0000 0.0000 0.0000  6 O 1.89
O: 0.3227 0.9298 0.3227  2 Pa 2.16
O: 0.7188 0.0558 0.0558  1 Re 1.89
O: 0.9442 0.9442 0.2812  1 Re 1.89
O: 0.0702 0.6773 0.6773  2 Pa 2.16
O: 0.2812 0.9442 0.9442  1 Re 1.89

Results
- M_tot: 0.0 Bohr magnetons per cell
- D(E_F): 0.00 states/eV per cell
- E_tot: -8.49 eV per atom



Question: Look up the D(E_F) of the second one.
Answer: 11.18 states/eV per cell



Question: The highest M_tot belongs to which entry?
Answer: KPu2PaO8